{"formula": "NdMg2Al9", "functional": "GGA-PBE", "state": "relaxed", "lattice": [[2.749, 1.587, 8.838], [-2.749, 1.587, 8.838], [0.000, -3.175, 8.838]], "species": ["Nd", "Mg", "Mg", "Al", "Al", "Al", "Al", "Al", "Al", "Al", "Al", "Al"], "fractional_positions": [[0.000, 0.000, 0.000], [0.144, 0.144, 0.144], [0.856, 0.856, 0.856], [0.080, 0.587, 0.587], [0.335, 0.335, 0.335], [0.413, 0.413, 0.920], [0.413, 0.920, 0.413], [0.500, 0.500, 0.500], [0.587, 0.080, 0.587], [0.587, 0.587, 0.080], [0.665, 0.665, 0.665], [0.920, 0.413, 0.413]], "spacegroup": "R-3m, No. 166", "energy_ry_per_atom": -0.2639, "crystal_system": "trigonal"}

---

{"formula": "Mg16Al12Au", "functional": "GGA-PBE", "state": "relaxed", "lattice": [[7.371, 4.255, 3.065], [-7.371, 4.255, 3.065], [0.000, -8.511, 3.065]], "species": ["Mg", "Mg", "Mg", "Mg", "Mg", "Mg", "Mg", "Mg", "Mg", "Mg", "Mg", "Mg", "Mg", "Mg", "Mg", "Mg", "Al", "Al", "Al", "Al", "Al", "Al", "Al", "Al", "Al", "Al", "Al", "Al", "Au"], "fractional_positions": [[0.000, 0.000, 0.000], [0.280, 0.682, 0.682], [0.318, 0.592, 0.995], [0.318, 0.995, 0.592], [0.344, 0.997, 0.997], [0.415, 0.415, 0.696], [0.415, 0.696, 0.415], [0.592, 0.318, 0.995], [0.592, 0.995, 0.318], [0.682, 0.280, 0.682], [0.682, 0.682, 0.280], [0.696, 0.415, 0.415], [0.995, 0.318, 0.592], [0.995, 0.592, 0.318], [0.997, 0.344, 0.997], [0.997, 0.997, 0.344], [0.000, 0.633, 0.816], [0.000, 0.816, 0.633], [0.161, 0.350, 0.350], [0.184, 0.184, 0.801], [0.184, 0.801, 0.184], [0.350, 0.161, 0.350], [0.350, 0.350, 0.161], [0.633, 0.000, 0.816], [0.633, 0.816, 0.000], [0.801, 0.184, 0.184], [0.816, 0.000, 0.633], [0.816, 0.633, 0.000], [0.699, 0.699, 0.699]], "spacegroup": "R3m, No. 160", "energy_ry_per_atom": -0.1909, "crystal_system": "trigonal"}

---

{"formula": "CaMgCu17", "functional": "GGA-PBE", "state": "relaxed", "lattice": [[4.243, 2.450, 4.166], [-4.243, 2.450, 4.166], [0.000, -4.900, 4.166]], "species": ["Ca", "Mg", "Cu", "Cu", "Cu", "Cu", "Cu", "Cu", "Cu", "Cu", "Cu", "Cu", "Cu", "Cu", "Cu", "Cu", "Cu", "Cu", "Cu"], "fractional_positions": [[0.000, 0.000, 0.000], [0.318, 0.318, 0.318], [0.006, 0.006, 0.499], [0.006, 0.499, 0.006], [0.157, 0.660, 0.660], [0.315, 0.315, 0.805], [0.315, 0.805, 0.315], [0.360, 0.655, 0.959], [0.360, 0.959, 0.655], [0.499, 0.006, 0.006], [0.557, 0.557, 0.557], [0.655, 0.360, 0.959], [0.655, 0.959, 0.360], [0.660, 0.157, 0.660], [0.660, 0.660, 0.157], [0.752, 0.752, 0.752], [0.805, 0.315, 0.315], [0.959, 0.360, 0.655], [0.959, 0.655, 0.360]], "spacegroup": "R3m, No. 160", "energy_ry_per_atom": -0.2853, "crystal_system": "trigonal"}

---

{"formula": "Li2Ac2ThS6", "functional": "GGA-PBE", "state": "relaxed", "lattice": [[3.656, 2.111, 6.818], [-3.656, 2.111, 6.818], [0.000, -4.221, 6.818]], "species": ["Li", "Li", "Ac", "Ac", "Th", "S", "S", "S", "S", "S", "S"], "fractional_positions": [[0.070, 0.070, 0.070], [0.930, 0.930, 0.930], [0.303, 0.303, 0.303], [0.697, 0.697, 0.697], [0.500, 0.500, 0.500], [0.249, 0.249, 0.719], [0.249, 0.719, 0.249], [0.281, 0.751, 0.751], [0.719, 0.249, 0.249], [0.751, 0.281, 0.751], [0.751, 0.751, 0.281]], "spacegroup": "R-3m, No. 166", "energy_ry_per_atom": -0.4120, "crystal_system": "trigonal", "formation_energy_uncorrected_ev_per_atom": -1.585}

---

{"formula": "GaAsIBr2", "functional": "GGA-PBE", "state": "relaxed", "lattice": [[4.973, 0.000, 0.000], [0.000, 4.973, 0.000], [0.000, 0.000, 5.786]], "species": ["Ga", "As", "I", "Br", "Br"], "fractional_positions": [[0.000, 0.000, 0.000], [0.000, 0.000, 0.500], [0.500, 0.500, 0.500], [0.000, 0.500, 0.000], [0.500, 0.000, 0.000]], "spacegroup": "P4/mmm, No. 123", "energy_ry_per_atom": -0.1775, "crystal_system": "tetragonal", "formation_energy_uncorrected_ev_per_atom": 0.099}

---

{"formula": "BaEu3Hg", "functional": "GGA-PBE", "state": "relaxed", "lattice": [[6.219, 0.000, 0.000], [0.000, 6.219, 0.000], [0.000, 0.000, 6.219]], "species": ["Ba", "Eu", "Eu", "Eu", "Hg"], "fractional_positions": [[0.000, 0.000, 0.000], [0.000, 0.500, 0.500], [0.500, 0.000, 0.500], [0.500, 0.500, 0.000], [0.500, 0.500, 0.500]], "spacegroup": "Pm-3m, No. 221", "energy_ry_per_atom": -0.4945, "crystal_system": "cubic"}

---

{"formula": "Ba8Au4Br", "functional": "GGA-PBE", "state": "relaxed", "lattice": [[11.800, -2.397, 0.000], [11.800, 2.397, 0.000], [-10.931, 0.000, 11.953]], "species": ["Ba", "Ba", "Ba", "Ba", "Ba", "Ba", "Ba", "Ba", "Au", "Au", "Au", "Au", "Br"], "fractional_positions": [[0.000, 0.000, 0.000], [0.016, 0.016, 0.734], [0.302, 0.302, 0.935], [0.319, 0.319, 0.675], [0.362, 0.362, 0.396], [0.617, 0.617, 0.617], [0.698, 0.698, 0.051], [0.956, 0.956, 0.269], [0.326, 0.326, 0.162], [0.508, 0.508, 0.866], [0.809, 0.809, 0.802], [0.989, 0.989, 0.505], [0.503, 0.503, 0.160]], "spacegroup": "Cm, No. 8", "energy_ry_per_atom": -0.2210, "crystal_system": "monoclinic", "formation_energy_uncorrected_ev_per_atom": -0.687}

---

{"formula": "PmNd2Ho", "functional": "GGA-PBE", "state": "relaxed", "lattice": [[3.638, 0.000, 0.000], [-1.819, 3.150, 0.000], [0.000, 0.000, 35.472]], "species": ["Pm", "Pm", "Pm", "Nd", "Nd", "Nd", "Nd", "Nd", "Nd", "Ho", "Ho", "Ho"], "fractional_positions": [[0.000, 0.000, 0.000], [0.333, 0.667, 0.667], [0.667, 0.333, 0.333], [0.000, 0.000, 0.249], [0.000, 0.000, 0.751], [0.333, 0.667, 0.418], [0.333, 0.667, 0.915], [0.667, 0.333, 0.085], [0.667, 0.333, 0.582], [0.000, 0.000, 0.500], [0.333, 0.667, 0.167], [0.667, 0.333, 0.833]], "spacegroup": "R-3m, No. 166", "energy_ry_per_atom": -0.3456, "crystal_system": "trigonal"}

---

{"formula": "RbNaB3", "functional": "GGA-PBE", "state": "relaxed", "lattice": [[5.259, 0.000, 0.000], [0.000, 5.259, 0.000], [0.000, 0.000, 5.259]], "species": ["Rb", "Na", "B", "B", "B"], "fractional_positions": [[0.000, 0.000, 0.000], [0.500, 0.500, 0.500], [0.000, 0.000, 0.500], [0.000, 0.500, 0.000], [0.500, 0.000, 0.000]], "spacegroup": "Pm-3m, No. 221", "energy_ry_per_atom": -0.1073, "crystal_system": "cubic"}

---

{"formula": "Mn2OsPtCl", "functional": "GGA-PBE", "state": "relaxed", "lattice": [[4.953, 0.000, 0.000], [0.000, 4.953, 0.000], [0.000, 0.000, 4.278]], "species": ["Mn", "Mn", "Os", "Pt", "Cl"], "fractional_positions": [[0.000, 0.500, 0.000], [0.500, 0.000, 0.000], [0.000, 0.000, 0.000], [0.500, 0.500, 0.500], [0.000, 0.000, 0.500]], "spacegroup": "P4/mmm, No. 123", "energy_ry_per_atom": -0.4631, "crystal_system": "tetragonal", "formation_energy_uncorrected_ev_per_atom": 1.191}

---

{"formula": "Ac3Tl2Ag9", "functional": "GGA-PBE", "state": "relaxed", "lattice": [[-2.439, 4.935, 7.241], [2.439, -4.935, 7.241], [2.439, 4.935, -7.241]], "species": ["Ac", "Ac", "Ac", "Tl", "Tl", "Ag", "Ag", "Ag", "Ag", "Ag", "Ag", "Ag", "Ag", "Ag"], "fractional_positions": [[0.000, 0.000, 0.000], [0.294, 0.294, 0.000], [0.706, 0.706, 0.000], [0.311, 0.500, 0.811], [0.689, 0.500, 0.189], [0.024, 0.665, 0.359], [0.145, 0.862, 0.283], [0.305, 0.665, 0.641], [0.421, 0.138, 0.283], [0.500, 0.000, 0.500], [0.579, 0.862, 0.717], [0.695, 0.335, 0.359], [0.855, 0.138, 0.717], [0.976, 0.335, 0.641]], "spacegroup": "Immm, No. 71", "energy_ry_per_atom": -0.2390, "crystal_system": "orthorhombic"}

---

M_tot per entry: 0.000 0.000 0.000 0.000 0.000 4.527 0.000 0.000 0.203 1.790 0.000 μB/atom